Record 1
Here is a relaxed Rb2HgH6Rh crystal from Alexandria. Energies are from PBE.

Summary:
The final energy is -3.08 eV/atom. As for the space group: P-3m1.

a b c (Å): 5.2958 6.0866 6.0866
angles (deg): 120.00 90.00 90.00
Last column: nearest neighbours and their distance in Å.
Fractional coordinates of all 10 atoms:
Rb: 0.2361 0.3333 0.6667  9 H 2.96-3.08
Rb: 0.7639 0.6667 0.3333  9 H 2.96-3.08
Hg: 0.5000 0.0000 0.0000  6 H 2.29
H: 0.8320 0.1387 0.2775  1 Rh 1.71
H: 0.8320 0.1387 0.8613  1 Rh 1.71
H: 0.8320 0.7225 0.8613  1 Rh 1.71
H: 0.1680 0.8613 0.1387  1 Rh 1.71
H: 0.1680 0.2775 0.1387  1 Rh 1.71
H: 0.1680 0.8613 0.7225  1 Rh 1.71
Rh: 0.0000 0.0000 0.0000  6 H 1.71

Record 2
Here is a relaxed Sc7Te2Ru2 crystal from Alexandria. Energies are from PBE.

Summary:
As for the space group: Imm2. As for the formation energy (no corrections): -0.689 eV per atom.

a b c (Å): 3.7765 8.7618 8.7618
angles (deg): 59.54 77.55 77.55
Last column: nearest neighbours and their distance in Å.
Fractional coordinates of all 11 atoms:
Sc: 0.8164 0.0779 0.2893  3 Ru 2.64-2.92, 1 Te 2.95
Sc: 0.8491 0.4169 0.8849  2 Ru 2.75, 2 Te 3.03
Sc: 0.5000 0.0233 0.9767  3 Te 2.92-2.97
Sc: 0.6346 0.4739 0.2569  2 Ru 2.69, 1 Te 2.94
Sc: 0.3654 0.7431 0.5261  2 Ru 2.69, 1 Te 2.94
Sc: 0.1836 0.7107 0.9221  3 Ru 2.64-2.92, 1 Te 2.95
Sc: 0.1509 0.1151 0.5831  2 Ru 2.75, 2 Te 3.03
Te: 0.0000 0.7595 0.2405  8 Sc 2.95-3.04
Te: 0.5000 0.3594 0.6406  7 Sc 2.92-3.03
Ru: 0.7360 0.8511 0.6769  7 Sc 2.64-2.92
Ru: 0.2640 0.3231 0.1489  7 Sc 2.64-2.92

Record 3
Here is a relaxed Tm2SbH crystal from Alexandria. Energies are from PBE.

Summary:
As for the space group: Cm. The calculation puts the energy relative to the lowest polymorph listed for this composition at 0.0 meV/atom.

a b c (Å): 3.6351 3.6337 7.2027
angles (deg): 98.22 98.25 68.11
Last column: nearest neighbours and their distance in Å.
Fractional coordinates of all 4 atoms:
Tm: 0.2134 0.6583 0.4659  1 H 2.20
Tm: 0.5078 0.9528 0.0840  3 H 2.18-2.28
Sb: 0.8131 0.2580 0.7719  5 Tm 2.98-3.14, 1 H 3.20
H: 0.1701 0.6155 0.1566  4 Tm 2.18-2.28

Record 4
Here is a relaxed Na2CrRe2 crystal from Alexandria. Energies are from PBE.

Summary:
As for the space group: I4/mmm. The calculation puts the energy relative to the lowest polymorph listed for this composition at 298.6 meV/atom. The formation energy is 1.2207 eV per atom.

a b c (Å): 3.3443 3.3443 8.0830
angles (deg): 78.06 78.06 90.00
Last column: nearest neighbours and their distance in Å.
Fractional coordinates of all 5 atoms:
Re: 0.4246 0.4246 0.1508  1 Re 2.33
Re: 0.5754 0.5754 0.8492  1 Re 2.33
Na: 0.7500 0.2500 0.5000  4 Na 2.36
Na: 0.2500 0.7500 0.5000  4 Na 2.36
Cr: 0.0000 0.0000 0.0000  8 Re 2.64